Here is an optimized crystal structure of Tb2ErH from the Alexandria database. Energies are from GGA-PBE.

Uncorrected energy = -16.765 eV per cell
E above lowest polymorph = 0.2851 eV/atom
Fermi-level density of states = 4.11 states/eV/cell

Structure (CIF):
```
data_Tb2ErH
_chemical_formula_sum 'Tb2 Er1 H1'
_cell_length_a 3.349
_cell_length_b 3.349
_cell_length_c 8.423
_cell_angle_alpha 90.00
_cell_angle_beta 90.00
_cell_angle_gamma 90.00
_symmetry_space_group_name_H-M 'P 4/m m m'
_symmetry_Int_Tables_number 123
_symmetry_space_group_name_Hall '-P 4 2'
loop_
_atom_site_label
_atom_site_type_symbol
_atom_site_fract_x
_atom_site_fract_y
_atom_site_fract_z
Tb1 Tb 0.000 0.000 0.193
Er1 Er 0.500 0.500 0.500
H1 H 0.500 0.500 0.000
```